This record from Alexandria via LeMat-Bulk describes a relaxed CaTaIn2 crystal. The functional is PBE.

Structure (POSCAR):
```
CaTaIn2
1.0
-0.817 2.276 1.982
-2.866 -1.230 0.230
2.948 -5.469 7.493
Ca In Ta
1 2 1
direct
0.500 0.500 0.740
0.000 0.000 0.012
0.500 0.500 0.265
0.000 0.000 0.483
```

Results
E_form = 0.252 eV/atom
volume = 95.16 Å³ per cell
total magnetic moment = 0.00 μB/f.u.
total DFT energy (no corrections) = -4.5807 eV/atom
space group = P4mm (99)